# 1
{"formula": "Ta2BrCl", "functional": "PBE-GGA", "state": "relaxed", "magmom_total_mub_per_cell": 0.000, "e_form_raw_mev_per_atom": 888.8, "n_ef_per_ev_cell": 3.2, "relative_energy_mev_per_atom": 1304.3, "lattice": [[3.336, 0.000, 0.000], [0.000, 3.336, 0.000], [0.000, 0.000, 6.398]], "species": ["Ta", "Ta", "Br", "Cl"], "fractional_positions": [[0.000, 0.000, 0.206], [0.000, 0.000, 0.794], [0.500, 0.500, 0.500], [0.500, 0.500, 0.000]]}


# 2
{"formula": "TaBr2Cl", "functional": "PBE-GGA", "state": "relaxed", "magmom_total_mub_per_cell": 0.000, "e_form_raw_mev_per_atom": -210.7, "n_ef_per_ev_cell": 2.2, "relative_energy_mev_per_atom": 552.5, "lattice": [[1.511, -3.134, 0.000], [1.511, 3.134, 0.000], [0.000, 0.000, 11.262]], "species": ["Ta", "Br", "Br", "Cl"], "fractional_positions": [[0.000, 0.000, 0.000], [0.000, 0.000, 0.498], [0.500, 0.500, 0.812], [0.500, 0.500, 0.174]]}


# 3
{"formula": "TaBr2Cl", "functional": "PBE-GGA", "state": "relaxed", "magmom_total_mub_per_cell": 0.999, "e_form_raw_mev_per_atom": 717.3, "n_ef_per_ev_cell": 2.8, "relative_energy_mev_per_atom": 1480.5, "lattice": [[3.569, 0.000, 0.000], [0.000, 4.853, 0.000], [0.000, 0.000, 4.872]], "species": ["Ta", "Br", "Br", "Cl"], "fractional_positions": [[0.000, 0.000, 0.000], [0.000, 0.500, 0.500], [0.500, 0.500, 0.000], [0.500, 0.000, 0.500]]}


# 4
{"formula": "TaBr2Cl2", "functional": "PBE-GGA", "state": "relaxed", "magmom_total_mub_per_cell": 0.960, "e_form_raw_mev_per_atom": 176.6, "n_ef_per_ev_cell": 2.9, "lattice": [[-3.264, 3.264, 3.726], [3.264, -3.264, 3.726], [3.264, 3.264, -3.726]], "species": ["Ta", "Br", "Br", "Cl", "Cl"], "fractional_positions": [[0.000, 0.000, 0.000], [0.250, 0.750, 0.500], [0.750, 0.250, 0.500], [0.298, 0.298, 0.000], [0.702, 0.702, 0.000]]}


# 5
{"formula": "TaBr2Cl", "functional": "PBE-GGA", "state": "relaxed", "magmom_total_mub_per_cell": 0.000, "e_form_raw_mev_per_atom": -763.2, "n_ef_per_ev_cell": 1.7, "relative_energy_mev_per_atom": 0.0, "lattice": [[2.400, -7.489, 0.000], [2.400, 7.489, 0.000], [0.000, 0.000, 3.403]], "species": ["Ta", "Br", "Br", "Cl"], "fractional_positions": [[0.000, 0.000, 0.000], [0.134, 0.866, 0.500], [0.866, 0.134, 0.500], [0.500, 0.500, 0.000]]}


# 6
{"formula": "Ta2BrCl", "functional": "PBE-GGA", "state": "relaxed", "magmom_total_mub_per_cell": 0.000, "e_form_raw_mev_per_atom": 946.5, "n_ef_per_ev_cell": 3.0, "relative_energy_mev_per_atom": 1362.0, "lattice": [[0.000, 3.423, 3.423], [3.423, 0.000, 3.423], [3.423, 3.423, 0.000]], "species": ["Ta", "Ta", "Br", "Cl"], "fractional_positions": [[0.000, 0.000, 0.000], [0.250, 0.250, 0.250], [0.500, 0.500, 0.500], [0.750, 0.750, 0.750]]}